This record from Alexandria via LeMat-Bulk describes CrGaN2O after structural relaxation. The functional is PBE with a Hubbard U.

Computed properties:
size of the total moment	1.1	μB per formula unit
E_tot	-5.760	eV per atom
symmetry	P4/mmm

Lattice parameters (Å, degrees): 3.8926 3.8926 3.8788 90.00 90.00 90.00
Last column: nearest neighbours and their distance in Å.
Sites, in units of the cell vectors:
O (0.0000, 0.0000, 0.5000)  2 Ga 1.94
N (0.0000, 0.5000, 0.0000)  2 Ga 1.95
Cr (0.5000, 0.5000, 0.5000)  8 N 2.75, 4 O 2.75
Ga (0.0000, 0.0000, 0.0000)  2 O 1.94, 4 N 1.95
N (0.5000, 0.0000, 0.0000)  2 Ga 1.95

This record from Alexandria via LeMat-Bulk describes CrGaN2O after structural relaxation. The functional is PBE with a Hubbard U.

Computed properties:
size of the total moment	0.0	μB per formula unit
E_tot	-5.866	eV per atom
symmetry	P4/mmm

Lattice parameters (Å, degrees): 3.7041 3.7041 3.8976 90.00 90.00 90.00
Last column: nearest neighbours and their distance in Å.
Sites, in units of the cell vectors:
N (0.5000, 0.0000, 0.0000)  2 Cr 1.85
Cr (0.0000, 0.0000, 0.0000)  4 N 1.85, 2 O 1.95
N (0.0000, 0.5000, 0.0000)  2 Cr 1.85
Ga (0.5000, 0.5000, 0.5000)  4 O 2.62, 8 N 2.69
O (0.0000, 0.0000, 0.5000)  2 Cr 1.95